This record from Alexandria via LeMat-Bulk describes a relaxed TmAl3CuAg crystal. The functional is PBE-GGA.

## Properties
- ρ (g cm⁻³) = 6.31
- energy relative to the elements (eV per atom) = -0.15
- calculated volume (Å³/atom) = 18.472

Lattice parameters (Å, degrees): 5.9831 12.5294 5.9137 90.00 90.00 90.00
With the nearest neighbours (Å) after each atom.
Space group Cmcm (No. 63)
Asymmetric unit:
Tm 0.0000 0.2054 0.2500 [4 per cell]  1 Cu 2.68
Al 0.0000 0.3666 0.7500 [4 per cell]  1 Ag 2.62, 1 Cu 2.68, 4 Al 2.80
Al 0.2161 0.0000 0.0000 [8 per cell]  2 Cu 2.47, 1 Al 2.59
Cu 0.0000 0.4193 0.2500 [4 per cell]  5 Al 2.47-2.68, 1 Tm 2.68
Ag 0.0000 0.1575 0.7500 [4 per cell]  5 Al 2.62-2.78